(1)
DFT (PBE) results for a relaxed NaAlPb3 crystal.

- total energy (eV per atom) = -3.006
- ρ (g/cm³) = 6.53
- Fermi-level density of states (states/eV/f.u.) = 3.13

Structure (extended XYZ):
```
5
Lattice="5.5479 0.0000 0.0000 0.0000 5.5479 0.0000 0.0000 0.0000 5.5479" Properties=species:S:1:pos:R:3 pbc="T T T"
Na 2.7739 2.7739 2.7739
Pb 0.0000 2.7739 0.0000
Pb 2.7739 0.0000 0.0000
Pb 0.0000 0.0000 2.7739
Al 0.0000 0.0000 0.0000
```

---

(2)
DFT (PBE) results for a relaxed Li17Ac2Ag3 crystal.

- total energy (eV per atom) = -2.227
- ρ (g/cm³) = 2.92
- Fermi-level density of states (states/eV/f.u.) = 11.77

Structure (extended XYZ):
```
22
Lattice="-6.6602 4.0540 1.9013 -3.2142 -0.1707 -7.3518 -4.5917 -6.4640 1.2412" Properties=species:S:1:pos:R:3 pbc="T T T"
Li -6.3741 -0.9420 -4.9646
Li -2.2959 -3.2320 0.6206
Li -6.1195 1.3046 1.7288
Li -4.1150 0.9336 -4.9330
Li -1.3551 -0.2418 -0.3943
Li -8.0443 1.1056 -0.4799
Li -4.2316 -4.8190 -1.0050
Li -3.5743 -1.8158 -5.1056
Li -6.4218 -3.6864 -3.7293
Li -13.1110 -2.3391 -3.8149
Li -5.7594 2.9496 -0.5174
Li -1.6071 -0.0854 -3.6759
Li -5.1324 -3.7147 1.4138
Li -8.0920 -1.6388 0.7554
Li -7.0417 -3.9922 -0.7998
Li -7.4244 1.4114 -3.4094
Li -3.3301 2.0270 0.9507
Ag -4.9372 1.9416 -2.7252
Ag -3.9029 -3.3174 -3.0553
Ag -5.6260 -1.2050 1.5713
Ac -4.7974 -0.8559 -1.3959
Ac -9.6687 -1.7249 -2.8133
```

---

(3)
DFT (PBE) results for a relaxed CrInReP crystal.

- total energy (eV per atom) = -7.494
- ρ (g/cm³) = 9.91
- Fermi-level density of states (states/eV/f.u.) = 2.22

Structure (extended XYZ):
```
8
Lattice="-2.4865 -1.6812 -0.9528 -0.4387 -0.9682 2.8530 -8.0049 10.5144 2.3373" Properties=species:S:1:pos:R:3 pbc="T T T"
P -4.9253 5.6972 2.8005
P -0.7035 0.9240 0.2054
In -3.0552 3.2408 2.2545
In -6.8383 8.9821 1.9967
Re -1.5815 -1.1685 0.9848
Re -5.3646 4.5728 0.7269
Cr -2.9534 1.4057 0.0229
Cr -7.1752 6.1788 2.6180
```

---

(4)
DFT (PBE) results for a relaxed As2IrPt crystal.

- total energy (eV per atom) = -5.797
- ρ (g/cm³) = 13.55
- Fermi-level density of states (states/eV/f.u.) = 3.30

Structure (extended XYZ):
```
4
Lattice="4.5852 0.0000 0.0000 0.0000 2.8548 0.0020 0.0000 -0.1042 5.0273" Properties=species:S:1:pos:R:3 pbc="T T T"
Pt 2.2926 2.0630 3.7719
Ir 2.2926 0.6877 1.2573
As 0.0000 1.0580 2.5455
As 0.0000 0.2132 4.9964
```

---

(5)
DFT (PBE) results for a relaxed SiSb2As crystal.

- ρ (g/cm³) = 6.34
- Fermi-level density of states (states/eV/f.u.) = 2.59
- formation energy from raw total energies (meV per atom) = 356.8

Structure (extended XYZ):
```
4
Lattice="3.3512 -0.0119 0.0000 0.0127 3.3512 0.0000 0.0000 0.0000 8.0834" Properties=species:S:1:pos:R:3 pbc="T T T"
Si 0.0000 0.0000 4.3898
Sb 1.6819 1.6696 2.3762
Sb 0.0000 0.0000 7.9496
As 1.6819 1.6696 5.4928
```

---

(6)
DFT (PBE) results for a relaxed Zn3RuPt crystal.

- total energy (eV per atom) = -3.119
- ρ (g/cm³) = 7.89
- Fermi-level density of states (states/eV/f.u.) = 3.55

Structure (extended XYZ):
```
5
Lattice="4.6970 0.0000 0.0000 0.0000 4.6970 0.0000 0.0000 0.0000 4.6970" Properties=species:S:1:pos:R:3 pbc="T T T"
Zn 0.0000 0.0000 2.3485
Zn 0.0000 2.3485 0.0000
Zn 2.3485 0.0000 0.0000
Ru 2.3485 2.3485 2.3485
Pt 0.0000 0.0000 0.0000
```

---

(7)
DFT (PBE) results for a relaxed Ce3Sm4ErS8 crystal.

- ρ (g/cm³) = 6.65
- Fermi-level density of states (states/eV/f.u.) = 18.08
- formation energy from raw total energies (meV per atom) = -2026.7

Structure (extended XYZ):
```
16
Lattice="7.9985 0.0000 0.0000 0.0000 7.9875 -0.0131 -3.9992 -3.9955 5.6584" Properties=species:S:1:pos:R:3 pbc="T T T"
Sm 0.0000 0.0000 0.0000
Sm 3.9992 0.0000 0.0000
Sm -1.9996 -1.9978 2.8292
Sm 1.9996 -1.9978 2.8292
S 6.0392 5.9569 -0.0050
S -2.0400 -1.9649 5.6502
S 0.0000 -0.0110 2.8189
S 2.0400 -1.9649 5.6502
S 3.9992 4.0030 2.8264
S 0.0000 3.9997 2.7670
S 3.9992 -0.0077 2.8783
S 1.9592 5.9569 -0.0050
Er 0.0000 3.9938 -0.0066
Ce 1.9996 1.9960 2.8226
Ce -1.9996 1.9960 2.8226
Ce 3.9992 3.9938 -0.0066
```

---

(8)
DFT (PBE) results for a relaxed AcNbTl2O6 crystal.

- ρ (g/cm³) = 8.56
- Fermi-level density of states (states/eV/f.u.) = 3.18
- formation energy from raw total energies (meV per atom) = -1902.2

Structure (extended XYZ):
```
20
Lattice="-2.6057 -2.7993 4.5572 5.5490 -1.6840 2.1384 0.4116 7.3165 4.6936" Properties=species:S:1:pos:R:3 pbc="T T T"
O 0.8917 -1.8223 6.2834
O 0.5310 2.4303 3.4454
O 2.9540 -1.5621 2.9458
O 2.4632 4.6556 5.1057
O 2.8239 0.4030 7.9438
O 2.4941 3.1283 9.8837
O 0.8608 -0.2950 1.5054
O 3.2840 0.9629 5.1400
O 0.4009 4.3955 8.4434
O -1.1362 0.2322 4.2318
O 0.0709 1.8704 6.2492
O 4.4911 2.6011 7.1574
Ac -1.3028 -1.3996 2.2786
Ac 2.9803 2.8163 3.4160
Nb -1.0970 2.2586 4.6254
Nb 2.7745 -0.8420 1.0692
Tl 1.4065 -0.3973 4.3999
Tl 5.4663 0.2374 3.2968
Tl -2.1114 2.5959 8.0924
Tl 1.9484 3.2306 6.9893
```

---

(9)
DFT (PBE) results for a relaxed K6YO4 crystal.

- ρ (g/cm³) = 2.45
- Fermi-level density of states (states/eV/f.u.) = 0.81
- formation energy from raw total energies (meV per atom) = -1479.5

Structure (extended XYZ):
```
22
Lattice="9.5321 0.0000 0.0000 -4.7660 8.2550 0.0000 0.0000 0.0000 6.6888" Properties=species:S:1:pos:R:3 pbc="T T T"
K 1.7589 4.4879 2.1377
K 4.7660 6.0551 3.1975
K 3.0072 3.7671 5.4821
K -2.8609 7.1551 6.5418
K 1.9052 1.0999 3.1975
K 6.5249 3.7671 5.4821
K 0.0000 7.5343 2.1377
K -1.7589 4.4879 2.1377
K 7.6269 1.0999 3.1975
K 4.7660 0.7207 5.4821
K 2.8609 7.1551 6.5418
K 0.0000 2.1999 6.5418
O 3.0194 1.7432 0.7867
O 6.5127 1.7432 0.7867
O 1.7467 6.5118 4.1311
O -1.7467 6.5118 4.1311
O 4.7660 4.7685 0.7867
O 0.0000 3.4865 4.1311
O 0.0000 5.5034 0.4178
O 4.7660 2.7517 3.7622
Y 4.7660 2.7517 1.5913
Y 0.0000 5.5034 4.9357
```

---

(10)
DFT (PBE) results for a relaxed CsYSb2 crystal.

- ρ (g/cm³) = 5.77
- Fermi-level density of states (states/eV/f.u.) = 5.76
- formation energy from raw total energies (meV per atom) = -203.2

Structure (extended XYZ):
```
4
Lattice="5.2134 -1.1770 -2.0997 3.7856 -2.9175 3.1829 1.3788 -5.3943 -1.4047" Properties=species:S:1:pos:R:3 pbc="T T T"
Cs 5.1889 -4.7444 -0.1607
Sb 7.7834 -7.1166 -0.2411
Sb 2.5945 -2.3722 -0.0804
Y 0.0000 0.0000 0.0000
```

---

(11)
DFT (PBE) results for a relaxed Dy2HfGa9 crystal.

- total energy (eV per atom) = -4.351
- ρ (g/cm³) = 8.34
- Fermi-level density of states (states/eV/f.u.) = 4.35

Structure (extended XYZ):
```
12
Lattice="4.2204 0.0000 0.0000 0.0000 4.2204 0.0000 0.0000 0.0000 12.6399" Properties=species:S:1:pos:R:3 pbc="T T T"
Ga 2.1102 0.0000 10.6348
Ga 0.0000 2.1102 10.6348
Ga 2.1102 2.1102 0.0000
Ga 0.0000 2.1102 6.3199
Ga 0.0000 2.1102 2.0051
Ga 2.1102 0.0000 2.0051
Ga 2.1102 2.1102 8.4240
Ga 2.1102 0.0000 6.3199
Ga 2.1102 2.1102 4.2159
Dy 0.0000 0.0000 4.1331
Dy 0.0000 0.0000 8.5067
Hf 0.0000 0.0000 0.0000
```

---

(12)
DFT (PBE) results for a relaxed KTl2Co crystal.

- total energy (eV per atom) = -2.920
- ρ (g/cm³) = 7.32
- Fermi-level density of states (states/eV/f.u.) = 1.90

Structure (extended XYZ):
```
4
Lattice="-1.7315 -2.7016 -2.9849 2.2108 -0.9163 -3.6714 3.1458 -6.5900 0.9272" Properties=species:S:1:pos:R:3 pbc="T T T"
Co 2.7188 -7.6559 -4.2968
Tl 2.8187 -6.0004 0.5823
Tl 2.1396 -5.6935 -2.5196
K 0.9063 -2.5520 -1.4323
```

---

(13)
DFT (PBE) results for a relaxed La2GaGe6Rh crystal.

- total energy (eV per atom) = -5.203
- ρ (g/cm³) = 6.60
- Fermi-level density of states (states/eV/f.u.) = 4.73

Structure (extended XYZ):
```
20
Lattice="5.8459 0.0000 0.0000 0.0000 9.0074 0.0000 0.0000 0.0000 8.4742" Properties=species:S:1:pos:R:3 pbc="T T T"
Ge 0.0000 7.7443 6.6511
Ge 1.7088 4.1619 0.0000
Ge 1.5240 8.8217 0.0000
Ge 2.9229 1.2631 6.0602
Ge 2.9229 1.2631 2.4140
Ge 1.2142 4.8455 4.2371
Ge 4.3219 8.8217 0.0000
Ge 4.1371 4.1619 0.0000
Ge 4.6317 4.8455 4.2371
Ge 4.4469 0.1857 4.2371
Ge 1.3990 0.1857 4.2371
Ge 0.0000 7.7443 1.8231
Ga 0.0000 5.9292 0.0000
Ga 2.9229 3.0782 4.2371
La 2.9229 6.3902 2.1107
La 0.0000 2.6173 6.3479
La 0.0000 2.6173 2.1264
La 2.9229 6.3902 6.3635
Rh 0.0000 7.1109 4.2371
Rh 2.9229 1.8965 0.0000
```

---

(14)
DFT (PBE) results for a relaxed MgSbTe2Se crystal.

- ρ (g/cm³) = 4.89
- Fermi-level density of states (states/eV/f.u.) = 5.50
- formation energy from raw total energies (meV per atom) = 398.0

Structure (extended XYZ):
```
5
Lattice="5.4530 0.0000 0.0000 0.0000 5.4530 0.0000 0.0000 0.0000 5.4812" Properties=species:S:1:pos:R:3 pbc="T T T"
Sb 0.0000 0.0000 2.7406
Te 2.7265 0.0000 0.0000
Te 0.0000 2.7265 0.0000
Se 0.0000 0.0000 0.0000
Mg 2.7265 2.7265 2.7406
```

---

(15)
DFT (PBE) results for a relaxed Tm5Cd2Ir2Rh crystal.

- total energy (eV per atom) = -5.544
- ρ (g/cm³) = 11.14
- Fermi-level density of states (states/eV/f.u.) = 6.87

Structure (extended XYZ):
```
20
Lattice="-2.9354 1.6042 1.2534 -5.7652 -9.7858 -0.9771 2.9947 -2.8258 10.6302" Properties=species:S:1:pos:R:3 pbc="T T T"
Tm 0.0297 -0.6108 5.9418
Tm -2.6851 -6.7576 7.4510
Tm -4.1900 -7.2042 4.4982
Tm 0.5296 -2.1781 9.1185
Tm -2.3738 -1.3050 1.2015
Tm -3.3320 -9.7023 9.7049
Tm -4.3503 -4.0908 0.1381
Tm -3.0207 -4.2498 3.4555
Tm -6.2354 -8.8293 1.7879
Tm -1.5158 -3.8032 6.4082
Ir -3.8984 -9.5169 3.0507
Ir -1.7144 -3.9647 1.0593
Ir 1.1279 -3.0947 6.6024
Ir -1.0560 -8.6468 8.5937
Rh 0.0000 0.0000 0.0000
Rh -1.3852 -6.3058 4.8265
Cd -0.0350 -2.6304 3.2847
Cd -2.7355 -9.9812 6.3684
Cd -3.3672 -7.0990 1.2000
Cd 0.5968 -5.5126 8.4530
```

---

(16)
DFT (PBE) results for a relaxed Cs3AgHg crystal.

- total energy (eV per atom) = -1.090
- ρ (g/cm³) = 3.21
- Fermi-level density of states (states/eV/f.u.) = 7.49

Structure (extended XYZ):
```
5
Lattice="-1.1156 3.2588 -6.2648 -5.0660 -4.7879 -1.5885 -4.9196 4.1914 3.0563" Properties=species:S:1:pos:R:3 pbc="T T T"
Cs -2.5330 -2.3940 -0.7942
Cs -2.4598 2.0957 1.5282
Cs -0.5578 1.6294 -3.1324
Ag 0.0000 0.0000 0.0000
Hg -5.5506 1.3311 -2.3984
```

---

(17)
DFT (PBE) results for a relaxed CrGa4Co5 crystal.

- total energy (eV per atom) = -5.927
- ρ (g/cm³) = 8.73
- Fermi-level density of states (states/eV/f.u.) = 5.97

Structure (extended XYZ):
```
10
Lattice="2.8704 0.0000 0.0000 0.0000 2.8704 0.0000 0.0000 0.0000 14.4410" Properties=species:S:1:pos:R:3 pbc="T T T"
Co 1.4352 1.4352 7.2205
Co 1.4352 1.4352 10.1153
Co 1.4352 1.4352 4.3257
Co 1.4352 1.4352 1.3838
Co 1.4352 1.4352 13.0572
Ga 0.0000 0.0000 5.7611
Ga 0.0000 0.0000 11.6042
Ga 0.0000 0.0000 2.8368
Ga 0.0000 0.0000 8.6799
Cr 0.0000 0.0000 0.0000
```

---

(18)
DFT (PBE) results for a relaxed Tl2ReTcSb crystal.

- ρ (g/cm³) = 9.40
- Fermi-level density of states (states/eV/f.u.) = 3.85
- formation energy from raw total energies (meV per atom) = 1479.0

Structure (extended XYZ):
```
5
Lattice="5.3394 0.0000 0.0000 0.0000 5.0477 0.0000 0.0000 0.0000 5.3394" Properties=species:S:1:pos:R:3 pbc="T T T"
Re 2.6697 2.5239 2.6697
Sb 0.0000 2.5239 0.0000
Tc 0.0000 0.0000 0.0000
Tl 0.0000 0.0000 2.6697
Tl 2.6697 0.0000 0.0000
```

---

(19)
DFT (PBE) results for a relaxed YPtW crystal.

- total energy (eV per atom) = -8.792
- ρ (g/cm³) = 12.64
- Fermi-level density of states (states/eV/f.u.) = 2.08

Structure (extended XYZ):
```
12
Lattice="-6.6408 -4.8727 -0.5211 -0.1833 -0.1092 3.3578 -1.1367 10.1482 0.2681" Properties=species:S:1:pos:R:3 pbc="T T T"
W -7.3662 3.6426 1.4021
W -0.5946 1.5237 1.7028
W -1.0713 6.6524 0.1580
W -6.7062 -1.3769 -0.4109
Y -5.6117 6.0944 -0.1081
Y -5.1350 0.9657 1.4368
Y -2.1658 -0.8189 -0.1449
Y -2.8258 4.2006 1.6681
Pt -3.2821 6.9591 1.7329
Pt -2.6221 1.9396 -0.0800
Pt -4.6787 -1.7928 1.3719
Pt -5.1554 3.3359 -0.1729
```

---

(20)
DFT (PBE) results for a relaxed Li2Ag2Pb crystal.

- total energy (eV per atom) = -2.822
- ρ (g/cm³) = 7.52
- Fermi-level density of states (states/eV/f.u.) = 1.55

Structure (extended XYZ):
```
10
Lattice="-6.1788 -0.1610 4.5558 -3.7850 -4.0956 -5.2781 1.0825 -2.7664 1.3704" Properties=species:S:1:pos:R:3 pbc="T T T"
Li -2.1520 -2.1149 1.3356
Li -3.0002 -4.1355 -2.0734
Li -5.8811 -2.8875 2.7214
Li -6.7293 -4.9082 -0.6876
Pb 0.0000 0.0000 0.0000
Pb -4.9819 -2.1283 -0.3612
Ag -2.2018 -1.5394 -1.3685
Ag -4.3768 -0.6305 2.1845
Ag -5.5870 -3.6261 -2.9069
Ag -7.7620 -2.7172 0.6461
```